1.
Density functional theory data (GGA-PBE) for an optimized crystal structure of Hf6AuN.

Output
Spin magnetization = 0.00 μB/atom
Formation energy (no corrections) = -4.2 eV/f.u.
DOS at the Fermi energy = 6.61 states/eV/cell

Cell lengths 5.1248, 5.7110, 5.8572 Å; angles 98.31, 112.67, 91.64 degrees
Fractional coordinates of all 8 atoms:
Hf 0.0565 0.2995 0.1542
Hf 0.2162 0.8275 0.4660
Hf 0.3962 0.3810 0.7397
Hf 0.6038 0.6190 0.2603
Hf 0.7838 0.1725 0.5340
Hf 0.9435 0.7005 0.8458
Au 0.5000 0.0000 0.0000
N 0.0000 0.5000 0.5000



2.
Density functional theory data (GGA-PBE) for an optimized crystal structure of MnRe2HgIr.

Output
Spin magnetization = 0.14 μB/atom
Formation energy from the elements = 3278 meV per atom
DOS at the Fermi energy = 9.79 states/eV/cell

Cell lengths 4.8153, 4.8153, 4.5218 Å; angles 90.00, 90.00, 90.00 degrees
Fractional coordinates of all 5 atoms:
Mn 0.0000 0.0000 0.0000
Re 0.0000 0.5000 0.5000
Re 0.5000 0.0000 0.5000
Hg 0.0000 0.0000 0.5000
Ir 0.5000 0.5000 0.0000



3.
Density functional theory data (GGA-PBE) for an optimized crystal structure of LaCeNd2Dy.

Output
Spin magnetization = 0.13 μB/atom
Formation energy from the elements = 259 meV per atom
DOS at the Fermi energy = 20.36 states/eV/cell

Cell lengths 8.6083, 6.3440, 6.2765 Å; angles 90.00, 93.16, 90.00 degrees
Fractional coordinates of all 10 atoms:
La 0.0000 0.0000 0.0000
La 0.0000 0.0000 0.5000
Ce 0.0000 0.4592 0.2500
Ce 0.0000 0.5408 0.7500
Nd 0.3089 0.3096 0.7339
Nd 0.3089 0.6904 0.2339
Nd 0.6911 0.3096 0.7661
Nd 0.6911 0.6904 0.2661
Dy 0.5000 0.1740 0.2500
Dy 0.5000 0.8260 0.7500



4.
Density functional theory data (GGA-PBE) for an optimized crystal structure of CsLi2AgPb.

Output
Spin magnetization = 0.00 μB/atom
Formation energy from the elements = -56 meV per atom
DOS at the Fermi energy = 0.45 states/eV/cell

Cell lengths 5.5149, 5.5149, 5.5430 Å; angles 90.00, 90.00, 90.00 degrees
Fractional coordinates of all 5 atoms:
Cs 0.0000 0.0000 0.0000
Li 0.0000 0.5000 0.5000
Li 0.5000 0.0000 0.5000
Ag 0.5000 0.5000 0.0000
Pb 0.5000 0.5000 0.5000



5.
Density functional theory data (GGA-PBE) for an optimized crystal structure of Cs2LaSmO4.

Output
Spin magnetization = 0.00 μB/atom
Formation energy (no corrections) = -19.7 eV/f.u.
DOS at the Fermi energy = 0.00 states/eV/cell

Cell lengths 7.7093, 7.7093, 7.7093 Å; angles 120.81, 119.24, 89.96 degrees
Fractional coordinates of all 16 atoms:
Cs 0.0000 0.0000 0.0000
Cs 0.5000 0.0000 0.0000
Cs 0.5000 0.0000 0.5000
Cs 0.5000 0.5000 0.5000
La 0.0000 0.5000 0.5000
La 0.5000 0.5000 0.0000
Sm 0.0000 0.0000 0.5000
Sm 0.0000 0.5000 0.0000
O 0.1739 0.7279 0.4460
O 0.2180 0.2721 0.9460
O 0.2210 0.2693 0.5482
O 0.2210 0.6728 0.9518
O 0.7790 0.3272 0.0482
O 0.7790 0.7307 0.4518
O 0.7820 0.7279 0.0540
O 0.8261 0.2721 0.5540



6.
Density functional theory data (GGA-PBE) for an optimized crystal structure of La3AsSe2.

Output
Spin magnetization = 0.00 μB/atom
Energy relative to the lowest polymorph listed for this composition = 4.1 meV per atom
Formation energy (no corrections) = -11.4 eV/f.u.
DOS at the Fermi energy = 6.86 states/eV/cell

Cell lengths 7.5057, 7.5057, 7.5160 Å; angles 99.60, 99.60, 119.97 degrees
Fractional coordinates of all 12 atoms:
La 0.0000 0.5000 0.5000
La 0.1622 0.3242 0.0002
La 0.3242 0.1622 0.5002
La 0.5000 0.0000 0.0000
La 0.6758 0.8378 0.4998
La 0.8378 0.6758 0.9998
As 0.0845 0.9155 0.7500
As 0.9155 0.0845 0.2500
Se 0.2508 0.7492 0.2500
Se 0.4167 0.5833 0.7500
Se 0.5833 0.4167 0.2500
Se 0.7492 0.2508 0.7500



7.
Density functional theory data (GGA-PBE) for an optimized crystal structure of NiHRuRh2.

Output
Spin magnetization = 0.40 μB/atom
Energy relative to the lowest polymorph listed for this composition = 0.0 meV per atom
DOS at the Fermi energy = 6.50 states/eV/cell

Cell lengths 3.8495, 3.8495, 3.8459 Å; angles 90.00, 90.00, 90.00 degrees
Fractional coordinates of all 5 atoms:
Ni 0.0000 0.0000 0.0000
H 0.5000 0.5000 0.5000
Ru 0.5000 0.5000 0.0000
Rh 0.0000 0.5000 0.5000
Rh 0.5000 0.0000 0.5000



8.
Density functional theory data (GGA-PBE) for an optimized crystal structure of Nd2Sm5Y5.

Output
Spin magnetization = 0.00 μB/atom
Formation energy from the elements = 61 meV per atom
Energy relative to the lowest polymorph listed for this composition = 45.2 meV per atom
DOS at the Fermi energy = 20.19 states/eV/cell

Cell lengths 9.0826, 9.0826, 9.8970 Å; angles 123.01, 123.01, 36.70 degrees
Fractional coordinates of all 12 atoms:
Nd 0.1234 0.1234 0.4588
Nd 0.8766 0.8766 0.5412
Sm 0.0000 0.0000 0.0000
Sm 0.1234 0.1234 0.7880
Sm 0.2483 0.2483 0.2464
Sm 0.7517 0.7517 0.7536
Sm 0.8766 0.8766 0.2120
Y 0.3746 0.3746 0.0427
Y 0.3751 0.3751 0.7064
Y 0.5000 0.5000 0.5000
Y 0.6249 0.6249 0.2936
Y 0.6254 0.6254 0.9573



9.
Density functional theory data (GGA-PBE) for an optimized crystal structure of ZrNiPb3.

Output
Spin magnetization = 0.00 μB/atom
Formation energy from the elements = 482 meV per atom
Energy relative to the lowest polymorph listed for this composition = 0.0 meV per atom
DOS at the Fermi energy = 7.36 states/eV/cell

Cell lengths 5.0982, 5.0982, 5.0982 Å; angles 90.00, 90.00, 90.00 degrees
Fractional coordinates of all 5 atoms:
Zr 0.0000 0.0000 0.0000
Ni 0.5000 0.5000 0.5000
Pb 0.0000 0.5000 0.5000
Pb 0.5000 0.0000 0.5000
Pb 0.5000 0.5000 0.0000



10.
Density functional theory data (GGA-PBE) for an optimized crystal structure of ThNbOs2.

Output
Spin magnetization = 0.00 μB/atom
Formation energy from the elements = -2 meV per atom
DOS at the Fermi energy = 3.57 states/eV/cell

Cell lengths 5.7127, 5.7127, 5.7127 Å; angles 44.49, 44.49, 44.49 degrees
Fractional coordinates of all 4 atoms:
Th 0.0000 0.0000 0.0000
Nb 0.5000 0.5000 0.5000
Os 0.2207 0.2207 0.2207
Os 0.7793 0.7793 0.7793



11.
Density functional theory data (GGA-PBE) for an optimized crystal structure of In2Ga2Hg.

Output
Spin magnetization = 0.00 μB/atom
Formation energy from the elements = 59 meV per atom
Energy relative to the lowest polymorph listed for this composition = 17.7 meV per atom
DOS at the Fermi energy = 5.03 states/eV/cell

Cell lengths 8.1556, 8.1556, 3.6462 Å; angles 90.00, 90.00, 90.00 degrees
Fractional coordinates of all 10 atoms:
In 0.1780 0.3220 0.0000
In 0.3220 0.8220 0.0000
In 0.6780 0.1780 0.0000
In 0.8220 0.6780 0.0000
Ga 0.1221 0.6221 0.5000
Ga 0.3779 0.1221 0.5000
Ga 0.6221 0.8779 0.5000
Ga 0.8779 0.3779 0.5000
Hg 0.0000 0.0000 0.5000
Hg 0.5000 0.5000 0.5000



12.
Density functional theory data (GGA-PBE) for an optimized crystal structure of Cs2H6N2O.

Output
Spin magnetization = 0.01 μB/atom
DFT total energy = -49.25 eV/f.u.

Cell lengths 6.5325, 6.5325, 8.2210 Å; angles 127.69, 127.69, 35.30 degrees
Fractional coordinates of all 11 atoms:
Cs 0.0522 0.0522 0.2908
Cs 0.9478 0.9478 0.7092
H 0.0401 0.6215 0.2933
H 0.2817 0.2817 0.9355
H 0.3785 0.9599 0.7067
H 0.6215 0.0401 0.2933
H 0.7183 0.7183 0.0645
H 0.9599 0.3785 0.7067
N 0.2378 0.2378 0.7792
N 0.7622 0.7622 0.2208
O 0.5000 0.5000 0.5000



Which of these has the highest spin magnetization? NiHRuRh2



spin magnetization of number 10 (ThNbOs2)? 0.00 μB/atom



spin magnetization of number 7 (NiHRuRh2)? 0.40 μB/atom



What is the spin magnetization in the eighth record? 0.00 μB/atom